First-principles (PBE) data for Ac3TbTl6 after structural relaxation, as listed in the Alexandria database.

Structure (extended XYZ):
```
10
Lattice="-0.6301 1.9612 8.1282 -7.4157 -0.5293 3.8779 -1.3430 -6.0252 5.6748" Properties=species:S:1:pos:R:3 pbc="T T T"
Tl -2.5941 -0.0963 8.4724
Tb 0.0000 0.0000 0.0000
Tl -6.4263 -0.3699 10.4763
Tl -2.9625 -4.2234 7.2046
Ac -2.3472 -1.1483 4.4202
Tl -6.7947 -4.4970 9.2085
Ac -7.0416 -3.4450 13.2607
Ac -4.6944 -2.2967 8.8405
Tl -6.1007 -1.3834 6.2760
Tl -3.2882 -3.2099 11.4049
```

Calculated values
space-group type = Fm-3m
V = 417 Å³/f.u.
magnetization = 0.00 Bohr magnetons per cell
E_form = 0.2920 eV per atom